Density functional theory data (SCAN) for a PBEsol-optimized structure of La2MnSb4.

Structure (POSCAR):
```
La2MnSb4
1.0
-4.0053 -1.5566 1.0803
0.9376 -3.8236 -2.0331
3.6727 -3.5893 8.4443
Sb Mn La
4 1 2
direct
0.5000 0.0000 0.1373
0.0000 0.5000 0.8627
0.5000 0.5000 0.5000
0.0000 0.0000 0.5000
0.5000 0.5000 0.0000
0.5000 0.0000 0.7557
0.0000 0.5000 0.2443
```

Results
- formation energy (no corrections) (kJ/mol of atoms) = -86.9
- calculated total energy (eV for the cell shown) = -259.82
- crystal system = tetragonal

---

Density functional theory data (SCAN) for a PBEsol-optimized structure of LaMnSb.

Structure (POSCAR):
```
LaMnSb
1.0
3.5062 0.0000 0.0000
0.0000 3.5062 0.0000
-1.7531 -1.7531 5.6216
La Mn Sb
1 1 1
direct
0.9922 0.9922 0.9844
0.3045 0.3045 0.6091
0.7033 0.7033 0.4065
```

Results
- formation energy (no corrections) (kJ/mol of atoms) = -36.8
- calculated total energy (eV for the cell shown) = -99.77
- crystal system = tetragonal

---

Density functional theory data (SCAN) for a PBEsol-optimized structure of LaMnSb2.

Structure (POSCAR):
```
LaMnSb2
1.0
4.3199 0.0000 0.0000
0.0000 4.7677 0.0000
0.0000 0.0000 4.7581
La Mn Sb
1 1 2
direct
0.5000 0.5000 0.0000
0.5000 0.0000 0.5000
0.0000 0.0000 0.0000
0.0000 0.5000 0.5000
```

Results
- formation energy (no corrections) (kJ/mol of atoms) = -54.6
- calculated total energy (eV for the cell shown) = -138.15
- crystal system = tetragonal

---

Density functional theory data (SCAN) for a PBEsol-optimized structure of La2ScMn.

Structure (POSCAR):
```
La2ScMn
1.0
3.7078 0.0000 0.0000
0.0000 3.7078 0.1126
0.0000 -0.2360 7.5435
La Mn Sc
2 1 1
direct
0.0000 0.9996 0.7230
0.0000 0.0004 0.2770
0.5000 0.5000 0.5000
0.5000 0.5000 0.0000
```

Results
- formation energy from the elements (eV per atom) = 0.059
- calculated total energy (eV for the cell shown) = -118.47
- E above lowest polymorph (meV/atom) = 13
- crystal system = tetragonal

---

Density functional theory data (SCAN) for a PBEsol-optimized structure of La2ScMn.

Structure (POSCAR):
```
La2ScMn
1.0
-1.8760 1.5106 2.6936
-4.5071 -0.8879 -2.6412
2.7453 -5.1027 2.3501
La Mn Sc
2 1 1
direct
0.0023 0.0021 0.0045
0.2204 0.7208 0.4408
0.4873 0.4864 0.9745
0.7901 0.2906 0.5802
```

Results
- formation energy from the elements (eV per atom) = 0.046
- calculated total energy (eV for the cell shown) = -118.52
- E above lowest polymorph (meV/atom) = 0
- crystal system = monoclinic

---

Density functional theory data (SCAN) for a PBEsol-optimized structure of La2ScMn.

Structure (POSCAR):
```
La2ScMn
1.0
-0.0550 0.6091 3.4374
1.9091 -1.9763 2.1538
7.9813 5.6134 0.9062
La Mn Sc
2 1 1
direct
0.9972 0.9972 0.0085
0.7714 0.7714 0.6858
0.5022 0.5022 0.4933
0.2292 0.2292 0.3124
```

Results
- formation energy from the elements (eV per atom) = 0.302
- calculated total energy (eV for the cell shown) = -117.49
- E above lowest polymorph (meV/atom) = 256
- crystal system = trigonal

---

Density functional theory data (SCAN) for a PBEsol-optimized structure of LaMnSe2.

Structure (POSCAR):
```
LaMnSe2
1.0
3.5311 0.0000 0.0000
0.0000 3.5311 0.0000
0.0000 0.0000 6.8925
La Mn Se
1 1 2
direct
0.5000 0.5000 0.0000
0.5000 0.5000 0.5000
0.0000 0.0000 0.7333
0.0000 0.0000 0.2667
```

Results
- formation energy (no corrections) (kJ/mol of atoms) = -112.0
- calculated total energy (eV for the cell shown) = -106.16
- E above lowest polymorph (meV/atom) = 189
- crystal system = tetragonal

---

Density functional theory data (SCAN) for a PBEsol-optimized structure of LaMnSe2.

Structure (POSCAR):
```
LaMnSe2
1.0
4.9318 0.0000 0.0000
2.4659 4.2711 0.0000
2.4659 1.4237 4.0268
La Mn Se
1 1 2
direct
0.0000 0.0000 0.0000
0.5000 0.5000 0.5000
0.2500 0.2500 0.2500
0.7500 0.7500 0.7500
```

Results
- formation energy (no corrections) (kJ/mol of atoms) = -117.8
- calculated total energy (eV for the cell shown) = -106.40
- E above lowest polymorph (meV/atom) = 130
- crystal system = cubic